[1]
Computed, not measured: an optimized crystal structure of Al2FeBr at the PBE-GGA level of DFT.

Structure (POSCAR):
```
Al2FeBr
1.0
3.0051 0.0000 0.0000
0.0000 4.6629 0.0000
0.0000 0.0000 5.1695
Fe Br Al
1 1 2
direct
0.0000 0.5000 0.5000 Fe
0.5000 0.0000 0.5000 Br
0.0000 0.0000 0.0000 Al
0.5000 0.5000 0.0000 Al
```

Results
Energy relative to the lowest polymorph listed for this composition in meV per atom: 531
SG: Pmmm
E in eV per cell: -15.809
Formation energy without anion corrections in eV per atom: 0.453

***

[2]
Computed, not measured: an optimized crystal structure of Zn4SiSe at the PBE-GGA level of DFT.

Structure (POSCAR):
```
Zn4SiSe
1.0
-1.3379 -3.9516 3.1905
-3.7064 -3.4199 -1.4670
1.3178 -4.9322 -1.2332
Zn Si Se
4 1 1
direct
0.8775 0.3742 0.3742 Zn
0.3742 0.3742 0.8775 Zn
0.3742 0.8775 0.3742 Zn
0.3742 0.3742 0.3742 Zn
0.0000 0.0000 0.0000 Si
0.7500 0.7500 0.7500 Se
```

Results
SG: F-43m
E in eV per cell: -12.079
Formation energy without anion corrections in eV per atom: 0.321

***

[3]
Computed, not measured: an optimized crystal structure of Sm2ThSi3Pt12 at the PBE-GGA level of DFT.

Structure (POSCAR):
```
Sm2ThSi3Pt12
1.0
-6.8382 -1.1831 -3.5349
0.2700 -4.2100 -6.5467
-2.8588 -7.2262 0.5154
Sm Th Si Pt
2 1 3 12
direct
0.5949 0.5949 0.5949 Sm
0.4051 0.4051 0.4051 Sm
0.0000 0.0000 0.0000 Th
0.5000 0.0000 0.0000 Si
0.0000 0.5000 0.0000 Si
0.0000 0.0000 0.5000 Si
0.3495 0.3495 0.8988 Pt
0.8509 0.8509 0.4104 Pt
0.4104 0.8509 0.8509 Pt
0.8988 0.3495 0.3495 Pt
0.8509 0.4104 0.8509 Pt
0.3495 0.8988 0.3495 Pt
0.6505 0.6505 0.1012 Pt
0.1491 0.1491 0.5896 Pt
0.5896 0.1491 0.1491 Pt
0.1012 0.6505 0.6505 Pt
0.1491 0.5896 0.1491 Pt
0.6505 0.1012 0.6505 Pt
```

Results
SG: R-3m
E in eV per cell: -116.153
Formation energy without anion corrections in eV per atom: -0.585